(1)
# IrSe2NCl (PBE, relaxed)
# N(E_F) (states/eV/atom): 0.944
# Space group: P4/mmm (123)
# Density (g/cm3): 8.0
# Raw total energy (eV/atom): -3.369
data_IrSe2NCl
_chemical_formula_sum 'Ir1 Se2 N1 Cl1'
_cell_length_a 5.024
_cell_length_b 5.024
_cell_length_c 3.267
_cell_angle_alpha 90.00
_cell_angle_beta 90.00
_cell_angle_gamma 90.00
_space_group_name_H-M_alt 'P 1'
_space_group_IT_number 1
_space_group_name_Hall 'P 1'
loop_
_atom_site_label
_atom_site_type_symbol
_atom_site_fract_x
_atom_site_fract_y
_atom_site_fract_z
_atom_site_occupancy
Ir1 Ir 0.500 0.500 0.500 1
Se1 Se 0.000 0.500 0.000 1
Se2 Se 0.500 0.000 0.000 1
N1 N 0.000 0.000 0.500 1
Cl1 Cl 0.000 0.000 0.000 1

(2)
# KLiCa2Ru (PBE, relaxed)
# Energy of formation from the pure elements (meV/atom): 1260
# N(E_F) (states/eV/atom): 0.542
# Space group: P4/mmm (123)
# Density (g/cm3): 2.3
# Raw total energy (eV/atom): -1.998
data_KLiCa2Ru
_chemical_formula_sum 'K1 Li1 Ca2 Ru1'
_cell_length_a 5.949
_cell_length_b 4.660
_cell_length_c 5.949
_cell_angle_alpha 90.00
_cell_angle_beta 90.00
_cell_angle_gamma 90.00
_space_group_name_H-M_alt 'P 1'
_space_group_IT_number 1
_space_group_name_Hall 'P 1'
loop_
_atom_site_label
_atom_site_type_symbol
_atom_site_fract_x
_atom_site_fract_y
_atom_site_fract_z
_atom_site_occupancy
Li1 Li 0.500 0.500 0.500 1
Ca1 Ca 0.500 0.000 0.000 1
Ca2 Ca 0.000 0.000 0.500 1
K1 K 0.000 0.000 0.000 1
Ru1 Ru 0.000 0.500 0.000 1

(3)
# TiReRhW (PBE, relaxed)
# Energy of formation from the pure elements (meV/atom): -242
# N(E_F) (states/eV/atom): 1.031
# Space group: F-43m (216)
# Density (g/cm3): 14.1
# Raw total energy (eV/atom): -10.404
data_TiReRhW
_chemical_formula_sum 'Ti1 Re1 Rh1 W1'
_cell_length_a 4.423
_cell_length_b 4.423
_cell_length_c 4.423
_cell_angle_alpha 60.00
_cell_angle_beta 60.00
_cell_angle_gamma 60.00
_space_group_name_H-M_alt 'P 1'
_space_group_IT_number 1
_space_group_name_Hall 'P 1'
loop_
_atom_site_label
_atom_site_type_symbol
_atom_site_fract_x
_atom_site_fract_y
_atom_site_fract_z
_atom_site_occupancy
Rh1 Rh 0.500 0.500 0.500 1
Ti1 Ti 0.250 0.250 0.250 1
Re1 Re 0.000 0.000 0.000 1
W1 W 0.750 0.750 0.750 1